No. 1
The following is a DFT calculation (PBE) of an optimized crystal structure of V2GaAu.

Results
E_form: -0.522 eV/f.u.

Unit cell a=3.763 b=3.763 c=4.174 alpha=90.00 beta=90.00 gamma=90.00
Space group P4/mmm (No. 123)
Symmetry-distinct sites (fractional):
V 0.000 0.500 0.000 [2 per cell]
Ga 0.000 0.000 0.500 [1 per cell]
Au 0.500 0.500 0.500 [1 per cell]

***

No. 2
The following is a DFT calculation (PBE) of an optimized crystal structure of AcPr4Nd3S8.

Results
raw formation energy: -2011 meV per atom

Unit cell a=8.2429 b=8.2429 c=20.1783 alpha=90.00 beta=90.00 gamma=120.00
Space group R-3m (No. 166, hexagonal axes)
Symmetry-distinct sites (fractional):
Ac 0.0000 0.0000 0.0000 [3 per cell]
Pr 0.0000 0.0000 0.5000 [3 per cell]
Pr 0.0000 0.5000 0.5000 [9 per cell]
Nd 0.0000 0.5000 0.0000 [9 per cell]
S 0.0000 0.0000 0.2512 [6 per cell]
S 0.0067 0.5033 0.2495 [18 per cell]

***

No. 3
The following is a DFT calculation (PBE) of an optimized crystal structure of AcYPu2O8.

Results
raw formation energy: -2784 meV per atom

Unit cell a=7.546 b=7.546 c=7.412 alpha=90.00 beta=90.00 gamma=90.00
Space group I-4m2 (No. 119)
Symmetry-distinct sites (fractional):
Ac 0.000 0.000 0.000 [2 per cell]
Y 0.000 0.500 0.750 [2 per cell]
Pu 0.000 0.000 0.500 [2 per cell]
Pu 0.000 0.500 0.250 [2 per cell]
O 0.000 0.191 0.692 [8 per cell]
O 0.000 0.327 0.044 [8 per cell]

***

No. 4
The following is a DFT calculation (PBE) of an optimized crystal structure of Tb12TmSc6.

Results
E_form: 4.493 eV/f.u.
E above lowest polymorph: 0.000 eV/atom

Unit cell a=10.454 b=10.454 c=10.454 alpha=90.00 beta=90.00 gamma=90.00
Space group Im-3 (No. 204)
Symmetry-distinct sites (fractional):
Tb 0.000 0.267 0.197 [24 per cell]
Tm 0.000 0.000 0.000 [2 per cell]
Sc 0.000 0.138 0.500 [12 per cell]

***

No. 5
The following is a DFT calculation (PBE) of an optimized crystal structure of LiEr2Tm.

Results
E_form: 0.376 eV/f.u.
E above lowest polymorph: 0.021 eV/atom

Unit cell a=3.4540 b=3.4540 c=33.1949 alpha=90.00 beta=90.00 gamma=120.00
Space group R3m (No. 160, hexagonal axes)
Symmetry-distinct sites (fractional):
Li 0.0000 0.0000 0.0000 [3 per cell]
Er 0.0000 0.0000 0.5845 [3 per cell]
Er 0.0000 0.0000 0.7485 [3 per cell]
Tm 0.0000 0.0000 0.1664 [3 per cell]

***

No. 6
The following is a DFT calculation (PBE) of an optimized crystal structure of Ho2Tm3Sc7.

Results
E_form: 3.100 eV/f.u.
E above lowest polymorph: 0.158 eV/atom

Unit cell a=3.510 b=37.534 c=5.234 alpha=90.00 beta=90.00 gamma=90.00
Space group Cmmm (No. 65)
Symmetry-distinct sites (fractional):
Ho 0.000 0.137 0.000 [4 per cell]
Tm 0.000 0.000 0.000 [2 per cell]
Tm 0.000 0.327 0.500 [4 per cell]
Sc 0.000 0.082 0.500 [4 per cell]
Sc 0.000 0.216 0.000 [4 per cell]
Sc 0.000 0.433 0.000 [4 per cell]
Sc 0.000 0.500 0.500 [2 per cell]

***

No. 7
The following is a DFT calculation (PBE) of an optimized crystal structure of DyScTcAg.

Results
E_form: -0.634 eV/f.u.

Unit cell a=6.834 b=6.834 c=6.834 alpha=90.00 beta=90.00 gamma=90.00
Space group F-43m (No. 216)
Symmetry-distinct sites (fractional):
Dy 0.000 0.000 0.000 [4 per cell]
Sc 0.000 0.000 0.500 [4 per cell]
Tc 0.250 0.250 0.750 [4 per cell]
Ag 0.250 0.250 0.250 [4 per cell]

***

No. 8
The following is a DFT calculation (PBE) of an optimized crystal structure of La2MgZr.

Results
E_form: 0.473 eV/f.u.

Unit cell a=3.449 b=4.716 c=7.009 alpha=90.00 beta=90.00 gamma=90.00
Space group Pmm2 (No. 25)
Symmetry-distinct sites (fractional):
La 0.000 0.000 0.000 [1 per cell]
La 0.500 0.500 0.277 [1 per cell]
Mg 0.000 0.000 0.533 [1 per cell]
Zr 0.500 0.500 0.741 [1 per cell]

***

No. 9
The following is a DFT calculation (PBE) of an optimized crystal structure of Dy3HoIr.

Results
E_form: -1.196 eV/f.u.
E above lowest polymorph: 0.096 eV/atom

Unit cell a=5.423 b=5.423 c=5.423 alpha=90.00 beta=90.00 gamma=90.00
Space group Pm-3m (No. 221)
Symmetry-distinct sites (fractional):
Dy 0.000 0.000 0.500 [3 per cell]
Ho 0.500 0.500 0.500 [1 per cell]
Ir 0.000 0.000 0.000 [1 per cell]

***

No. 10
The following is a DFT calculation (PBE) of an optimized crystal structure of TcGe3Pd.

Results
E_form: 0.052 eV/f.u.
E above lowest polymorph: 0.000 eV/atom

Unit cell a=4.030 b=8.233 c=5.703 alpha=90.00 beta=110.67 gamma=90.00
Space group P2_1/m (No. 11)
Symmetry-distinct sites (fractional):
Tc 0.231 0.250 0.460 [2 per cell]
Ge 0.127 0.750 0.254 [2 per cell]
Ge 0.333 0.536 0.667 [4 per cell]
Pd 0.494 0.750 0.989 [2 per cell]

***

Taking the records one at a time from the top gives E_tot values of -25.1 -308.2 -224.6 -187.1 -45.4 -127.6 -99.1 -19.5 -28.4 -58.7 eV for the cell shown.
Taking the records one at a time from the top gives total magnetization values of 0.000 0.000 6.000 0.000 0.000 1.236 0.000 0.002 0.000 0.000 μB per formula unit.
Taking the records one at a time from the top gives Fermi-level density of states values of 0.749 0.537 1.043 1.523 0.937 1.684 0.565 1.449 1.420 0.435 states/eV per atom.